#P
In3GePt | PBE | optimized geometry

```
data_In3GePt
_cell_length_a 5.172
_cell_length_b 5.172
_cell_length_c 5.172
_cell_angle_alpha 90.00
_cell_angle_beta 90.00
_cell_angle_gamma 90.00
_space_group_name_H-M_alt 'P 1'
_space_group_IT_number 1
loop_
_space_group_symop_operation_xyz
'x,y,z'
loop_
_atom_site_label
_atom_site_type_symbol
_atom_site_fract_x
_atom_site_fract_y
_atom_site_fract_z
In1 In 0.000 0.500 0.000
In2 In 0.500 0.000 0.000
In3 In 0.000 0.000 0.500
Pt1 Pt 0.000 0.000 0.000
Ge1 Ge 0.500 0.500 0.500
```

## Properties
For the spin magnetization, the calculation gives 0.00 μB per cell.

***

#Q
In3GePt | PBE | optimized geometry

```
data_In3GePt
_cell_length_a 5.186
_cell_length_b 5.186
_cell_length_c 5.186
_cell_angle_alpha 90.00
_cell_angle_beta 90.00
_cell_angle_gamma 90.00
_space_group_name_H-M_alt 'P 1'
_space_group_IT_number 1
loop_
_space_group_symop_operation_xyz
'x,y,z'
loop_
_atom_site_label
_atom_site_type_symbol
_atom_site_fract_x
_atom_site_fract_y
_atom_site_fract_z
In1 In 0.000 0.500 0.000
In2 In 0.000 0.000 0.500
In3 In 0.500 0.000 0.000
Ge1 Ge 0.000 0.000 0.000
Pt1 Pt 0.500 0.500 0.500
```

## Properties
For the spin magnetization, the calculation gives 0.00 μB per cell.

***

Stability verdict: #P, ahead by 532 meV/atom

***

#P
In2GePt2 | PBE | optimized geometry

```
data_In2GePt2
_cell_length_a 8.167
_cell_length_b 8.167
_cell_length_c 2.943
_cell_angle_alpha 90.00
_cell_angle_beta 90.00
_cell_angle_gamma 90.00
_space_group_name_H-M_alt 'P 1'
_space_group_IT_number 1
loop_
_space_group_symop_operation_xyz
'x,y,z'
loop_
_atom_site_label
_atom_site_type_symbol
_atom_site_fract_x
_atom_site_fract_y
_atom_site_fract_z
In1 In 0.849 0.651 0.000
In2 In 0.651 0.151 0.000
In3 In 0.151 0.349 0.000
In4 In 0.349 0.849 0.000
Ge1 Ge 0.000 0.000 0.000
Ge2 Ge 0.500 0.500 0.000
Pt1 Pt 0.355 0.145 0.500
Pt2 Pt 0.855 0.355 0.500
Pt3 Pt 0.645 0.855 0.500
Pt4 Pt 0.145 0.645 0.500
```

## Properties
For the spin magnetization, the calculation gives 0.00 μB per cell.

***

#Q
In2GePt2 | PBE | optimized geometry

```
data_In2GePt2
_cell_length_a 4.098
_cell_length_b 4.098
_cell_length_c 6.917
_cell_angle_alpha 72.77
_cell_angle_beta 72.77
_cell_angle_gamma 90.00
_space_group_name_H-M_alt 'P 1'
_space_group_IT_number 1
loop_
_space_group_symop_operation_xyz
'x,y,z'
loop_
_atom_site_label
_atom_site_type_symbol
_atom_site_fract_x
_atom_site_fract_y
_atom_site_fract_z
In1 In 0.250 0.750 0.500
In2 In 0.750 0.250 0.500
Pt1 Pt 0.604 0.604 0.791
Pt2 Pt 0.396 0.396 0.209
Ge1 Ge 0.000 0.000 0.000
```

## Properties
For the spin magnetization, the calculation gives 0.00 μB per cell.

***

Stability verdict: #P, ahead by 137 meV/atom

***

#P
Pu4InGe2 | PBE | optimized geometry

```
data_Pu4InGe2
_cell_length_a 5.042
_cell_length_b 5.042
_cell_length_c 7.889
_cell_angle_alpha 71.37
_cell_angle_beta 71.37
_cell_angle_gamma 60.00
_space_group_name_H-M_alt 'P 1'
_space_group_IT_number 1
loop_
_space_group_symop_operation_xyz
'x,y,z'
loop_
_atom_site_label
_atom_site_type_symbol
_atom_site_fract_x
_atom_site_fract_y
_atom_site_fract_z
Pu1 Pu 0.750 0.750 0.749
Pu2 Pu 0.425 0.425 0.725
Pu3 Pu 0.250 0.250 0.251
Pu4 Pu 0.575 0.575 0.275
In1 In 0.000 0.000 0.000
Ge1 Ge 0.120 0.120 0.641
Ge2 Ge 0.880 0.880 0.359
```

## Properties
For the spin magnetization, the calculation gives 0.72 μB per cell.

***

#Q
Pu4InGe2 | PBE | optimized geometry

```
data_Pu4InGe2
_cell_length_a 5.768
_cell_length_b 5.768
_cell_length_c 6.899
_cell_angle_alpha 114.71
_cell_angle_beta 114.71
_cell_angle_gamma 90.00
_space_group_name_H-M_alt 'P 1'
_space_group_IT_number 1
loop_
_space_group_symop_operation_xyz
'x,y,z'
loop_
_atom_site_label
_atom_site_type_symbol
_atom_site_fract_x
_atom_site_fract_y
_atom_site_fract_z
Pu1 Pu 0.250 0.750 0.500
Pu2 Pu 0.000 0.500 0.000
Pu3 Pu 0.750 0.250 0.500
Pu4 Pu 0.500 0.000 0.000
Ge1 Ge 0.380 0.380 0.759
Ge2 Ge 0.620 0.620 0.241
In1 In 0.000 0.000 0.000
```

## Properties
For the spin magnetization, the calculation gives 23.60 μB per cell.

***

Stability verdict: #P, ahead by 59 meV/atom

***

#P
RbScInGe2 | PBE | optimized geometry

```
data_RbScInGe2
_cell_length_a 5.239
_cell_length_b 6.030
_cell_length_c 5.239
_cell_angle_alpha 90.00
_cell_angle_beta 90.00
_cell_angle_gamma 90.00
_space_group_name_H-M_alt 'P 1'
_space_group_IT_number 1
loop_
_space_group_symop_operation_xyz
'x,y,z'
loop_
_atom_site_label
_atom_site_type_symbol
_atom_site_fract_x
_atom_site_fract_y
_atom_site_fract_z
Sc1 Sc 0.000 0.000 0.000
Ge1 Ge 0.000 0.000 0.500
Ge2 Ge 0.500 0.000 0.000
In1 In 0.500 0.500 0.500
Rb1 Rb 0.000 0.500 0.000
```

## Properties
For the spin magnetization, the calculation gives 0.00 μB per cell.

***

#Q
RbScInGe2 | PBE | optimized geometry

```
data_RbScInGe2
_cell_length_a 5.294
_cell_length_b 5.727
_cell_length_c 5.294
_cell_angle_alpha 90.00
_cell_angle_beta 90.00
_cell_angle_gamma 90.00
_space_group_name_H-M_alt 'P 1'
_space_group_IT_number 1
loop_
_space_group_symop_operation_xyz
'x,y,z'
loop_
_atom_site_label
_atom_site_type_symbol
_atom_site_fract_x
_atom_site_fract_y
_atom_site_fract_z
Sc1 Sc 0.000 0.000 0.000
Ge1 Ge 0.500 0.000 0.000
Ge2 Ge 0.000 0.000 0.500
Rb1 Rb 0.500 0.500 0.500
In1 In 0.000 0.500 0.000
```

## Properties
For the spin magnetization, the calculation gives 0.00 μB per cell.

***

Stability verdict: #Q, ahead by 294 meV/atom

***

#P
RbIn2SnGe | PBE | optimized geometry

```
data_RbIn2SnGe
_cell_length_a 5.052
_cell_length_b 5.052
_cell_length_c 7.008
_cell_angle_alpha 111.13
_cell_angle_beta 111.13
_cell_angle_gamma 90.00
_space_group_name_H-M_alt 'P 1'
_space_group_IT_number 1
loop_
_space_group_symop_operation_xyz
'x,y,z'
loop_
_atom_site_label
_atom_site_type_symbol
_atom_site_fract_x
_atom_site_fract_y
_atom_site_fract_z
In1 In 0.622 0.622 0.243
In2 In 0.378 0.378 0.757
Rb1 Rb 0.000 0.000 0.000
Sn1 Sn 0.750 0.250 0.500
Ge1 Ge 0.250 0.750 0.500
```

## Properties
For the spin magnetization, the calculation gives 0.00 μB per cell.

***

#Q
RbIn2SnGe | PBE | optimized geometry

```
data_RbIn2SnGe
_cell_length_a 5.443
_cell_length_b 6.172
_cell_length_c 5.443
_cell_angle_alpha 90.00
_cell_angle_beta 90.00
_cell_angle_gamma 90.00
_space_group_name_H-M_alt 'P 1'
_space_group_IT_number 1
loop_
_space_group_symop_operation_xyz
'x,y,z'
loop_
_atom_site_label
_atom_site_type_symbol
_atom_site_fract_x
_atom_site_fract_y
_atom_site_fract_z
Sn1 Sn 0.500 0.500 0.500
In1 In 0.500 0.000 0.000
In2 In 0.000 0.000 0.500
Ge1 Ge 0.000 0.000 0.000
Rb1 Rb 0.000 0.500 0.000
```

## Properties
For the spin magnetization, the calculation gives 0.00 μB per cell.

***

Stability verdict: #P, ahead by 495 meV/atom

***

#P
InReGe | PBE | optimized geometry

```
data_InReGe
_cell_length_a 4.412
_cell_length_b 4.412
_cell_length_c 4.412
_cell_angle_alpha 60.00
_cell_angle_beta 60.00
_cell_angle_gamma 60.00
_space_group_name_H-M_alt 'P 1'
_space_group_IT_number 1
loop_
_space_group_symop_operation_xyz
'x,y,z'
loop_
_atom_site_label
_atom_site_type_symbol
_atom_site_fract_x
_atom_site_fract_y
_atom_site_fract_z
Ge1 Ge 0.000 0.000 0.000
In1 In 0.500 0.500 0.500
Re1 Re 0.250 0.250 0.250
```

## Properties
For the spin magnetization, the calculation gives 0.00 μB per cell.

***

#Q
InReGe | PBE | optimized geometry

```
data_InReGe
_cell_length_a 3.088
_cell_length_b 6.861
_cell_length_c 7.271
_cell_angle_alpha 129.76
_cell_angle_beta 102.26
_cell_angle_gamma 90.00
_space_group_name_H-M_alt 'P 1'
_space_group_IT_number 1
loop_
_space_group_symop_operation_xyz
'x,y,z'
loop_
_atom_site_label
_atom_site_type_symbol
_atom_site_fract_x
_atom_site_fract_y
_atom_site_fract_z
Re1 Re 0.861 0.702 0.722
Re2 Re 0.139 0.298 0.278
In1 In 0.582 0.889 0.164
In2 In 0.418 0.111 0.836
Ge1 Ge 0.666 0.631 0.332
Ge2 Ge 0.334 0.369 0.668
```

## Properties
For the spin magnetization, the calculation gives 0.00 μB per cell.

***

Stability verdict: #Q, ahead by 448 meV/atom